# 1
A plane-wave DFT calculation with GGA-PBE was carried out for an optimized crystal structure of Er2SiB2Ir5.

```
Er2SiB2Ir5
1.0
-0.684 -0.671 3.070
9.144 0.355 2.116
-0.781 9.178 1.833
Ir B Si Er
10 4 2 4
Direct
0.500 0.215 0.068
0.500 0.500 0.000
0.500 0.000 0.500
0.500 0.068 0.785
0.500 0.568 0.715
0.500 0.715 0.432
0.500 0.785 0.932
0.500 0.285 0.568
0.500 0.932 0.215
0.500 0.432 0.285
0.000 0.623 0.877
0.000 0.877 0.377
0.000 0.377 0.123
0.000 0.123 0.623
0.000 0.500 0.500
0.000 0.000 0.000
0.000 0.676 0.176
0.000 0.824 0.676
0.000 0.324 0.824
0.000 0.176 0.324
```

Output
Crystal system = tetragonal
E_form (uncorrected) = -0.7821 eV per atom
Space group = No. 127

# 2
A plane-wave DFT calculation with GGA-PBE was carried out for an optimized crystal structure of Er2SiBIr6.

```
Er2SiBIr6
1.0
6.147 -0.001 0.002
-0.001 6.148 0.002
3.074 3.075 4.351
Er Ir Si B
2 6 1 1
Direct
0.750 0.250 0.500
0.250 0.750 0.500
0.738 0.738 0.000
0.262 0.262 0.000
0.261 0.261 0.477
0.262 0.738 0.000
0.738 0.262 0.000
0.739 0.739 0.523
0.000 0.000 0.000
0.500 0.500 0.000
```

Output
Crystal system = cubic
E_form (uncorrected) = -0.5088 eV per atom
Space group = No. 225

# 3
A plane-wave DFT calculation with GGA-PBE was carried out for an optimized crystal structure of K2ErBO4.

```
K2ErBO4
1.0
5.018 0.000 0.000
2.509 5.690 0.000
2.509 0.000 11.339
O B K Er
8 2 4 2
Direct
0.551 0.163 0.077
0.791 0.837 0.923
0.378 0.663 0.423
0.959 0.663 0.577
0.464 0.337 0.577
0.199 0.337 0.423
0.372 0.837 0.077
0.286 0.163 0.923
0.500 0.000 0.000
0.250 0.500 0.500
0.567 0.500 0.866
0.183 0.000 0.634
0.817 0.000 0.366
0.933 0.500 0.134
0.000 0.000 0.000
0.750 0.500 0.500
```

Output
Crystal system = orthorhombic
E_form (uncorrected) = -2.0806 eV per atom
Space group = No. 70

# 4
A plane-wave DFT calculation with GGA-PBE was carried out for an optimized crystal structure of La3ErB2N6.

```
La3ErB2N6
1.0
-3.108 4.423 -1.595
-2.261 -5.163 0.048
-1.881 0.880 6.106
N B La Er
6 2 3 1
Direct
0.184 0.368 0.278
0.184 0.816 0.278
0.632 0.816 0.278
0.816 0.184 0.722
0.368 0.184 0.722
0.816 0.632 0.722
0.667 0.333 0.745
0.333 0.667 0.255
0.000 0.000 0.000
0.333 0.667 0.670
0.667 0.333 0.330
0.000 0.000 0.500
```

Output
Crystal system = trigonal
E_form (uncorrected) = -1.2796 eV per atom
Space group = No. 164

# 5
A plane-wave DFT calculation with GGA-PBE was carried out for an optimized crystal structure of La2ErB3Pt12.

```
La2ErB3Pt12
1.0
7.459 -0.329 -0.233
3.398 6.649 -0.233
3.398 1.978 6.352
B Pt La Er
3 12 2 1
Direct
0.000 0.000 0.500
0.500 0.000 0.000
0.000 0.500 0.000
0.911 0.317 0.317
0.089 0.683 0.683
0.683 0.683 0.089
0.317 0.317 0.911
0.864 0.406 0.864
0.317 0.911 0.317
0.594 0.136 0.136
0.136 0.136 0.594
0.683 0.089 0.683
0.406 0.864 0.864
0.136 0.594 0.136
0.864 0.864 0.406
0.599 0.599 0.599
0.401 0.401 0.401
0.000 0.000 0.000
```

Output
Crystal system = trigonal
Formation enthalpy at 0 K = -0.5037 eV per atom
Space group = No. 166

# 6
A plane-wave DFT calculation with GGA-PBE was carried out for an optimized crystal structure of LiErB12.

```
LiErB12
1.0
4.112 0.000 0.000
0.000 4.112 0.000
0.000 0.000 8.228
B Er Li
12 1 1
Direct
0.500 0.200 0.248
0.800 0.500 0.248
0.200 0.500 0.752
0.500 0.500 0.601
0.500 0.500 0.399
0.500 0.800 0.248
0.500 0.500 0.099
0.500 0.800 0.752
0.500 0.500 0.901
0.800 0.500 0.752
0.200 0.500 0.248
0.500 0.200 0.752
0.000 0.000 0.000
0.000 0.000 0.500
```

Output
Crystal system = tetragonal
Formation enthalpy at 0 K = -0.2490 eV per atom
Space group = No. 123

# 7
A plane-wave DFT calculation with GGA-PBE was carried out for an optimized crystal structure of LiEr2B10.

```
LiEr2B10
1.0
-0.790 2.730 -2.993
-5.368 0.239 1.636
2.479 8.308 6.923
B Er Li
20 4 2
Direct
0.000 0.119 0.543
0.000 0.954 0.811
0.302 0.785 0.882
0.000 0.619 0.957
0.698 0.715 0.382
0.000 0.381 0.043
0.698 0.785 0.882
0.698 0.215 0.118
0.000 0.546 0.311
0.302 0.715 0.382
0.000 0.354 0.200
0.000 0.454 0.689
0.302 0.215 0.118
0.000 0.854 0.300
0.000 0.046 0.189
0.302 0.285 0.618
0.000 0.146 0.700
0.000 0.881 0.457
0.000 0.646 0.800
0.698 0.285 0.618
0.500 0.303 0.862
0.500 0.197 0.362
0.500 0.697 0.138
0.500 0.803 0.638
0.000 0.500 0.500
0.000 0.000 0.000
```

Output
Crystal system = orthorhombic
Formation enthalpy at 0 K = -0.3525 eV per atom
Space group = No. 55

# 8
A plane-wave DFT calculation with GGA-PBE was carried out for an optimized crystal structure of LiEr2Ni12B3.

```
LiEr2Ni12B3
1.0
-3.524 5.173 -2.095
-6.482 -1.175 -0.423
-3.559 2.907 4.738
Ni B Er Li
12 3 2 1
Direct
0.134 0.605 0.134
0.125 0.721 0.721
0.875 0.279 0.279
0.395 0.866 0.866
0.134 0.134 0.605
0.605 0.134 0.134
0.866 0.866 0.395
0.279 0.279 0.875
0.721 0.125 0.721
0.279 0.875 0.279
0.866 0.395 0.866
0.721 0.721 0.125
0.500 0.000 0.000
0.000 0.000 0.500
0.000 0.500 0.000
0.599 0.599 0.599
0.401 0.401 0.401
0.000 0.000 0.000
```

Output
Crystal system = trigonal
Formation enthalpy at 0 K = -0.0520 eV per atom
Space group = No. 166